Entry 1:
A plane-wave DFT calculation with PBE was carried out for crystalline CaCu2Rh at its relaxed geometry.

For the formation enthalpy at 0 K, the calculation gives -18 kJ/mol of formula units.

It has space group P4/mmm (No. 123), with a = 4.032 Å, b = 4.032 Å, c = 3.927 Å, α = 90.00°, β = 90.00° and γ = 90.00°. Symmetry generates all atoms from Ca at (0.000, 0.000, 0.000), Cu at (0.000, 0.500, 0.500) and Rh at (0.500, 0.500, 0.000).

***

Entry 2:
A plane-wave DFT calculation with PBE was carried out for crystalline Rb2PbBr2 at its relaxed geometry.

The calculation puts the energy relative to the elements, uncorrected at -71.7 kJ/mol of atoms.

It has space group I4/mmm (No. 139), with a = 6.053 Å, b = 6.053 Å, c = 14.578 Å, α = 90.00°, β = 90.00° and γ = 90.00°. Symmetry generates all atoms from Rb at (0.000, 0.500, 0.250), Pb at (0.000, 0.000, 0.000) and Br at (0.000, 0.000, 0.349).

***

Entry 3:
A plane-wave DFT calculation with PBE was carried out for crystalline Sr4PdBr2 at its relaxed geometry.

The calculation puts the energy relative to the elements, uncorrected at -84.8 kJ/mol of atoms.

It has space group I4/mmm (No. 139), with a = 6.011 Å, b = 6.011 Å, c = 15.780 Å, α = 90.00°, β = 90.00° and γ = 90.00°. Symmetry generates all atoms from Sr at (0.000, 0.000, 0.199), Sr at (0.000, 0.500, 0.000), Pd at (0.000, 0.000, 0.000) and Br at (0.000, 0.000, 0.392).

***

Entry 4:
A plane-wave DFT calculation with PBE was carried out for crystalline Rb2HRuO4 at its relaxed geometry.

As for the total energy: -5.22 eV per atom.

It has space group Fddd (No. 70, origin choice 2), with a = 4.842 Å, b = 11.928 Å, c = 19.739 Å, α = 90.00°, β = 90.00° and γ = 90.00°. Symmetry generates all atoms from Rb at (0.125, 0.125, 0.297), H at (0.125, 0.125, 0.125), Ru at (0.125, 0.125, 0.625) and O at (0.096, 0.296, 0.417).

***

Entry 5:
A plane-wave DFT calculation with PBE was carried out for crystalline CrHgIr2 at its relaxed geometry.

For the formation enthalpy at 0 K, the calculation gives 135 kJ/mol of formula units.

It has space group R3m (No. 160, hexagonal axes), with a = 2.7929 Å, b = 2.7929 Å, c = 27.2999 Å, α = 90.00°, β = 90.00° and γ = 120.00°. Symmetry generates all atoms from Cr at (0.0000, 0.0000, 0.0000), Hg at (0.0000, 0.0000, 0.7543), Ir at (0.0000, 0.0000, 0.2613) and Ir at (0.0000, 0.0000, 0.5113).

***

Entry 6:
A plane-wave DFT calculation with PBE was carried out for crystalline Nd3Ho3Tm5 at its relaxed geometry.

For the formation enthalpy at 0 K, the calculation gives 873 kJ/mol of formula units.

It has space group P-62m (No. 189), with a = 9.6041 Å, b = 9.6041 Å, c = 5.4195 Å, α = 90.00°, β = 90.00° and γ = 120.00°. Symmetry generates all atoms from Nd at (0.0000, 0.3678, 0.0000), Ho at (0.0000, 0.5498, 0.5000), Tm at (0.0000, 0.7356, 0.0000) and Tm at (0.3333, 0.6667, 0.0000).